## BaCoCu2 (GGA-PBE)

Data for BaCoCu2 after structural relaxation.

ΔE_f in meV/atom: 483
V in Å³/atom: 18.83
Total energy in eV/atom: -3.822
Fermi-level density of states in states/eV/atom: 1.1036
Symmetry: P4mm, No. 99

Unit cell a=3.250 b=3.250 c=7.130 alpha=90.00 beta=90.00 gamma=90.00
Atoms (fractional coordinates):
1 Ba 0.000 0.000 0.000
2 Co 0.500 0.500 0.328
3 Cu 0.000 0.000 0.487
4 Cu 0.500 0.500 0.662